Entry from Alexandria: a relaxed structure of MnInAsO5 (GGA+U).

abc: 5.9821 5.9821 7.4265
angles: 107.57 107.57 96.88
With the nearest neighbours (Å) after each atom.
Fractional positions:
1 Mn 0.1853 0.8147 0.7500  3 O 1.99-2.16
2 Mn 0.8147 0.1853 0.2500  3 O 1.99-2.16
3 In 0.5000 0.5000 0.0000  4 O 2.03-2.26
4 In 0.5000 0.5000 0.5000  4 O 2.03-2.26
5 As 0.1394 0.8606 0.2500  4 O 1.72-1.74
6 As 0.8606 0.1394 0.7500  4 O 1.72-1.74
7 O 0.1725 0.1889 0.8553  1 As 1.74
8 O 0.1889 0.1725 0.3553  1 As 1.74
9 O 0.2289 0.7343 0.4322  1 As 1.72
10 O 0.2657 0.7711 0.0678  1 As 1.72
11 O 0.4078 0.5922 0.7500  1 Mn 1.99, 2 In 2.03
12 O 0.5922 0.4078 0.2500  1 Mn 1.99, 2 In 2.03
13 O 0.7343 0.2289 0.9322  1 As 1.72
14 O 0.7711 0.2657 0.5678  1 As 1.72
15 O 0.8111 0.8275 0.6447  1 As 1.74
16 O 0.8275 0.8111 0.1447  1 As 1.74

Values from the calculation:
Final energy = -102.7 eV per cell